# 1
Density functional theory data (PBE-GGA) for a relaxed La8Ge2Ir3 crystal.

abc: 5.0491 10.1539 9.0494
angles: 123.97 90.00 90.00
Atoms (fractional coordinates):
La (0.0000, 0.3858, 0.7722)
La (0.5000, 0.3608, 0.2343)
La (0.0000, 0.1191, 0.2382)
La (0.0000, 0.8809, 0.7618)
La (0.5000, 0.1254, 0.7649)
La (0.5000, 0.6392, 0.7657)
La (0.0000, 0.6142, 0.2278)
La (0.5000, 0.8746, 0.2351)
Ir (0.5000, 0.0000, 0.0000)
Ir (0.0000, 0.7464, 0.0000)
Ir (0.0000, 0.2536, 0.0000)
Ge (0.5000, 0.2599, 0.5194)
Ge (0.5000, 0.7401, 0.4806)

- total magnetization (μB per cell) = 0.000
- DFT formation energy (kJ per mole of atoms) = -57.7
- D(E_F) (states/eV per cell) = 13.19
- calculated density (g/cm³) = 7.91

# 2
Density functional theory data (PBE-GGA) for a relaxed PaTaSeS3 crystal.

abc: 3.7628 9.2728 9.7602
angles: 90.00 90.00 101.71
Atoms (fractional coordinates):
S (0.4061, 0.8123, 0.4807)
S (0.0017, 0.0034, 0.2500)
S (0.4061, 0.8123, 0.0193)
S (0.5939, 0.1877, 0.9807)
S (0.9983, 0.9966, 0.7500)
S (0.5939, 0.1877, 0.5193)
Ta (0.0000, 0.0000, 0.5000)
Ta (0.0000, 0.0000, 0.0000)
Se (0.2223, 0.4445, 0.2500)
Se (0.7777, 0.5555, 0.7500)
Pa (0.3852, 0.7704, 0.7500)
Pa (0.6148, 0.2296, 0.2500)

- total magnetization (μB per cell) = 0.000
- formation energy without anion corrections (eV/atom) = -1.145
- D(E_F) (states/eV per cell) = 7.95
- calculated density (g/cm³) = 5.85

# 3
Density functional theory data (PBE-GGA) for a relaxed Ba2Ac2Pb3 crystal.

abc: 5.7077 6.4187 9.8735
angles: 98.58 90.01 116.40
Atoms (fractional coordinates):
Ac (0.3512, 0.7024, 0.0841)
Ac (0.6488, 0.2976, 0.9159)
Pb (0.0000, 0.0000, 0.0000)
Pb (0.8057, 0.6111, 0.2621)
Pb (0.1943, 0.3889, 0.7379)
Ba (0.1284, 0.2567, 0.3634)
Ba (0.8716, 0.7433, 0.6366)

- total magnetization (μB per cell) = 0.000
- DFT formation energy (kJ per mole of atoms) = -41.4
- D(E_F) (states/eV per cell) = 1.46
- calculated density (g/cm³) = 7.02

# 4
Density functional theory data (PBE-GGA) for a relaxed Ac4Mg5In6 crystal.

abc: 4.9976 11.6570 16.1630
angles: 90.00 90.00 102.38
Atoms (fractional coordinates):
Ac (0.0473, 0.0945, 0.7769)
Ac (0.0426, 0.0851, 0.5053)
Ac (0.9574, 0.9149, 0.0053)
Ac (0.9527, 0.9055, 0.2769)
Ac (0.8165, 0.6331, 0.4453)
Ac (0.1835, 0.3669, 0.9453)
Ac (0.1479, 0.2958, 0.2888)
Ac (0.8521, 0.7042, 0.7888)
In (0.5492, 0.0985, 0.3544)
In (0.7470, 0.4939, 0.2686)
In (0.7775, 0.5550, 0.9720)
In (0.2530, 0.5061, 0.7686)
In (0.4508, 0.9015, 0.8544)
In (0.5732, 0.1464, 0.9472)
In (0.4089, 0.8177, 0.1369)
In (0.5911, 0.1823, 0.6369)
In (0.9104, 0.8208, 0.5991)
In (0.0896, 0.1792, 0.0991)
In (0.4268, 0.8536, 0.4472)
In (0.2225, 0.4450, 0.4720)
Mg (0.3448, 0.6896, 0.9687)
Mg (0.6793, 0.3586, 0.1107)
Mg (0.1680, 0.3360, 0.6355)
Mg (0.3207, 0.6414, 0.6107)
Mg (0.5386, 0.0772, 0.1650)
Mg (0.8320, 0.6640, 0.1355)
Mg (0.6552, 0.3104, 0.4687)
Mg (0.4614, 0.9228, 0.6650)
Mg (0.6775, 0.3550, 0.7812)
Mg (0.3225, 0.6450, 0.2812)

- total magnetization (μB per cell) = 0.000
- DFT formation energy (kJ per mole of atoms) = -26.9
- D(E_F) (states/eV per cell) = 18.10
- calculated density (g/cm³) = 6.21

# 5
Density functional theory data (PBE-GGA) for a relaxed Ac2PrNdSe4 crystal.

abc: 4.3196 7.5678 7.5704
angles: 70.89 90.00 90.00
Atoms (fractional coordinates):
Nd (0.0000, 0.5000, 0.5000)
Ac (0.5000, 0.0000, 0.5000)
Ac (0.0000, 0.0000, 0.0000)
Pr (0.5000, 0.5000, 0.0000)
Se (0.5000, 0.2637, 0.7439)
Se (0.5000, 0.7363, 0.2561)
Se (0.0000, 0.7372, 0.7529)
Se (0.0000, 0.2628, 0.2471)

- total magnetization (μB per cell) = 0.000
- formation energy without anion corrections (eV/atom) = -1.849
- D(E_F) (states/eV per cell) = 5.14
- calculated density (g/cm³) = 7.49

# 6
Density functional theory data (PBE-GGA) for a relaxed La2MnAuN crystal.

abc: 5.3112 5.3112 3.7016
angles: 90.00 90.00 90.00
Each line ends with the local moment (μB).
Atoms (fractional coordinates):
La (0.0000, 0.5000, 0.0000)  -0.11
La (0.5000, 0.0000, 0.0000)  -0.11
Au (0.5000, 0.5000, 0.5000)  -0.02
N (0.0000, 0.0000, 0.0000)  -0.05
Mn (0.0000, 0.0000, 0.5000)  1.56

- total magnetization (μB per cell) = 1.080
- formation energy without anion corrections (eV/atom) = -0.766
- D(E_F) (states/eV per cell) = 4.33
- calculated density (g/cm³) = 8.65

# 7
Density functional theory data (PBE-GGA) for a relaxed Sm5Bi4H3 crystal.

abc: 4.4373 8.3842 10.5430
angles: 65.46 77.85 74.66
Atoms (fractional coordinates):
Bi (0.2983, 0.8461, 0.5572)
Bi (0.7017, 0.1539, 0.4428)
Bi (0.8843, 0.2199, 0.0116)
Bi (0.1157, 0.7801, 0.9884)
Sm (0.6660, 0.5139, 0.1541)
Sm (0.5000, 0.5000, 0.5000)
Sm (0.9284, 0.8547, 0.2884)
Sm (0.0716, 0.1453, 0.7116)
Sm (0.3340, 0.4861, 0.8459)
H (0.0000, 0.5000, 0.5000)
H (0.5030, 0.7183, 0.2757)
H (0.4970, 0.2817, 0.7243)

- total magnetization (μB per cell) = 0.000
- raw total energy (eV per formula unit) = -54.24
- D(E_F) (states/eV per cell) = 5.01
- calculated density (g/cm³) = 7.73

# 8
Density functional theory data (PBE-GGA) for a relaxed KAsCl crystal.

abc: 6.4380 6.4376 4.3912
angles: 70.06 70.05 39.88
Each line ends with the local moment (μB).
Atoms (fractional coordinates):
K (0.3207, 0.3207, 0.6793)  0.01
Cl (0.7363, 0.7363, 0.2637)  0.02
As (0.9430, 0.9430, 0.0570)  0.30

- total magnetization (μB per cell) = 0.689
- formation energy without anion corrections (eV/atom) = -0.388
- D(E_F) (states/eV per cell) = 1.30
- calculated density (g/cm³) = 2.28

# 9
Density functional theory data (PBE-GGA) for a relaxed YErTiN3 crystal.

abc: 3.5071 6.9554 7.9625
angles: 98.56 90.00 90.00
Atoms (fractional coordinates):
Ti (0.7500, 0.9066, 0.3957)
Ti (0.2500, 0.0934, 0.6043)
N (0.2500, 0.0981, 0.8521)
N (0.2500, 0.6027, 0.8668)
N (0.7500, 0.3973, 0.1332)
N (0.7500, 0.9019, 0.1479)
N (0.7500, 0.1785, 0.5406)
N (0.2500, 0.8215, 0.4594)
Er (0.7500, 0.3671, 0.8433)
Er (0.2500, 0.6329, 0.1567)
Y (0.7500, 0.8363, 0.8507)
Y (0.2500, 0.1637, 0.1493)

- total magnetization (μB per cell) = 0.000
- formation energy without anion corrections (eV/atom) = -1.379
- D(E_F) (states/eV per cell) = 3.47
- calculated density (g/cm³) = 5.98

# 10
Density functional theory data (PBE-GGA) for a relaxed LaFe4Te crystal.

abc: 5.2526 5.2526 5.2526
angles: 60.00 60.00 60.00
Each line ends with the local moment (μB).
Atoms (fractional coordinates):
Fe (0.6222, 0.1333, 0.6222)  2.55
Fe (0.1333, 0.6222, 0.6222)  2.55
Fe (0.6222, 0.6222, 0.6222)  2.55
Fe (0.6222, 0.6222, 0.1333)  2.55
La (0.2500, 0.2500, 0.2500)  -0.27
Te (0.0000, 0.0000, 0.0000)  0.09

- total magnetization (μB per cell) = 9.843
- formation energy without anion corrections (eV/atom) = 0.114
- D(E_F) (states/eV per cell) = 5.36
- calculated density (g/cm³) = 7.94

# 11
Density functional theory data (PBE-GGA) for a relaxed YVSi2 crystal.

abc: 4.6696 4.6696 4.6696
angles: 60.00 60.00 60.00
Each line ends with the local moment (μB).
Atoms (fractional coordinates):
Si (0.7500, 0.7500, 0.7500)  -0.02
Si (0.2500, 0.2500, 0.2500)  -0.02
Y (0.5000, 0.5000, 0.5000)  0.03
V (0.0000, 0.0000, 0.0000)  2.15

- total magnetization (μB per cell) = 2.629
- formation energy without anion corrections (eV/atom) = -0.108
- D(E_F) (states/eV per cell) = 3.06
- calculated density (g/cm³) = 4.52

# 12
Density functional theory data (PBE-GGA) for a relaxed NdEr3Cd crystal.

abc: 3.5507 8.5039 10.9513
angles: 90.00 90.00 101.98
Atoms (fractional coordinates):
Cd (0.6428, 0.7839, 0.7500)
Cd (0.3572, 0.2161, 0.2500)
Er (0.2960, 0.0915, 0.7500)
Er (0.8423, 0.1862, 0.0094)
Er (0.1577, 0.8138, 0.5094)
Er (0.8423, 0.1862, 0.4906)
Er (0.1577, 0.8138, 0.9906)
Er (0.7040, 0.9085, 0.2500)
Nd (0.0181, 0.5399, 0.2500)
Nd (0.9819, 0.4601, 0.7500)

- total magnetization (μB per cell) = 0.000
- DFT formation energy (kJ per mole of atoms) = 6.1
- D(E_F) (states/eV per cell) = 13.75
- calculated density (g/cm³) = 7.79

# 13
Density functional theory data (PBE-GGA) for a relaxed ZrTa2Ir crystal.

abc: 9.4827 9.4827 9.4827
angles: 18.37 18.37 18.37
Atoms (fractional coordinates):
Zr (0.2500, 0.2500, 0.2500)
Ta (0.0058, 0.0058, 0.0058)
Ta (0.4942, 0.4942, 0.4942)
Ir (0.7500, 0.7500, 0.7500)

- total magnetization (μB per cell) = 0.000
- DFT formation energy (kJ per mole of atoms) = -1.4
- D(E_F) (states/eV per cell) = 4.40
- calculated density (g/cm³) = 14.49

# 14
Density functional theory data (PBE-GGA) for a relaxed NdGe4 crystal.

abc: 5.4769 5.4769 5.4769
angles: 90.00 90.00 90.00
Atoms (fractional coordinates):
Ge (0.0000, 0.0000, 0.0000)
Ge (0.5000, 0.5000, 0.0000)
Ge (0.5000, 0.0000, 0.5000)
Ge (0.0000, 0.5000, 0.5000)
Nd (0.5000, 0.5000, 0.5000)

- total magnetization (μB per cell) = 0.000
- DFT formation energy (kJ per mole of atoms) = 94.6
- D(E_F) (states/eV per cell) = 5.03
- calculated density (g/cm³) = 4.39

# 15
Density functional theory data (PBE-GGA) for a relaxed SiF3 crystal.

abc: 4.4521 4.4521 6.4093
angles: 69.68 69.68 90.00
Atoms (fractional coordinates):
F (0.8094, 0.1250, 0.2500)
F (0.9406, 0.6250, 0.2500)
F (0.2500, 0.7500, 0.5000)
F (0.8750, 0.0594, 0.7500)
F (0.3750, 0.1906, 0.7500)
F (0.5000, 0.5000, 0.0000)
Si (0.0000, 0.0000, 0.0000)
Si (0.7500, 0.2500, 0.5000)

- total magnetization (μB per cell) = 0.000
- formation energy without anion corrections (eV/atom) = -1.450
- D(E_F) (states/eV per cell) = 0.23
- calculated density (g/cm³) = 2.55

# 16
Density functional theory data (PBE-GGA) for a relaxed La3Tb6NdHo2 crystal.

abc: 6.2605 6.2605 11.9460
angles: 95.01 95.01 120.01
Atoms (fractional coordinates):
La (0.8330, 0.1670, 0.5000)
La (0.5000, 0.5000, 0.5000)
La (0.1670, 0.8330, 0.5000)
Tb (0.7474, 0.7474, 0.2456)
Tb (0.5842, 0.9185, 0.7546)
Tb (0.0815, 0.4158, 0.2454)
Tb (0.2526, 0.2526, 0.7544)
Tb (0.9185, 0.5842, 0.7546)
Tb (0.4158, 0.0815, 0.2454)
Nd (0.0000, 0.0000, 0.0000)
Ho (0.6668, 0.3332, 0.0000)
Ho (0.3332, 0.6668, 0.0000)

- total magnetization (μB per cell) = 0.000
- DFT formation energy (kJ per mole of atoms) = 1.8
- D(E_F) (states/eV per cell) = 16.80
- calculated density (g/cm³) = 7.67

# 17
Density functional theory data (PBE-GGA) for a relaxed ZnCrGaAu crystal.

abc: 4.4703 4.4703 4.4703
angles: 60.00 60.00 60.00
Each line ends with the local moment (μB).
Atoms (fractional coordinates):
Cr (0.7500, 0.7500, 0.7500)  3.52
Ga (0.0000, 0.0000, 0.0000)  -0.03
Zn (0.5000, 0.5000, 0.5000)  0.00
Au (0.2500, 0.2500, 0.2500)  0.02

- total magnetization (μB per cell) = 3.837
- DFT formation energy (kJ per mole of atoms) = 1.6
- D(E_F) (states/eV per cell) = 1.98
- calculated density (g/cm³) = 10.10

# 18
Density functional theory data (PBE-GGA) for a relaxed Tb3Pr2Zn2 crystal.

abc: 4.7698 6.3148 8.1907
angles: 115.05 90.00 112.19
Atoms (fractional coordinates):
Tb (0.6348, 0.2697, 0.4657)
Tb (0.3652, 0.7303, 0.5343)
Tb (0.5000, 0.0000, 0.0000)
Zn (0.8582, 0.7164, 0.8088)
Zn (0.1418, 0.2836, 0.1912)
Pr (0.8630, 0.7259, 0.2060)
Pr (0.1370, 0.2741, 0.7940)

- total magnetization (μB per cell) = 0.000
- DFT formation energy (kJ per mole of atoms) = -8.5
- D(E_F) (states/eV per cell) = 8.48
- calculated density (g/cm³) = 7.27

# 19
Density functional theory data (PBE-GGA) for a relaxed FePS2Cl crystal.

abc: 4.3102 4.3102 4.8618
angles: 90.00 90.00 90.00
Each line ends with the local moment (μB).
Atoms (fractional coordinates):
P (0.0000, 0.0000, 0.5000)  0.07
Cl (0.5000, 0.5000, 0.5000)  -0.04
Fe (0.0000, 0.0000, 0.0000)  1.83
S (0.0000, 0.5000, 0.0000)  0.14
S (0.5000, 0.0000, 0.0000)  0.14

- total magnetization (μB per cell) = 2.422
- formation energy without anion corrections (eV/atom) = 0.466
- D(E_F) (states/eV per cell) = 4.26
- calculated density (g/cm³) = 3.43

# 20
Density functional theory data (PBE-GGA) for a relaxed MgRe2Hg crystal.

abc: 2.7423 2.7423 9.5225
angles: 90.00 90.00 109.28
Atoms (fractional coordinates):
Re (0.0000, 0.0000, 0.5086)
Re (0.0000, 0.0000, 0.9914)
Hg (0.5000, 0.5000, 0.2500)
Mg (0.5000, 0.5000, 0.7500)

- total magnetization (μB per cell) = 0.000
- DFT formation energy (kJ per mole of atoms) = 63.9
- D(E_F) (states/eV per cell) = 2.57
- calculated density (g/cm³) = 14.67